Material: Tm2BeRh
Method: DFT, GGA-PBE
State: optimized geometry

```
4
Lattice="0.000 3.376 3.376 3.376 0.000 3.376 3.376 3.376 0.000" Properties=species:S:1:pos:R:3 pbc="T T T"
Tm 1.688 1.688 1.688
Tm 5.064 5.064 5.064
Be 0.000 0.000 0.000
Rh 3.376 3.376 3.376
```

**Total moment**: 0.0 μB per formula unit
**Energy of formation from the pure elements**: -0.436 eV/atom